1.
## LiAc2GaTe5 (PBE)

Data for a relaxed structure of LiAc2GaTe5.

Structure (POSCAR):
```
LiAc2GaTe5
1.0
-3.5086 -2.7360 -0.2543
7.2118 -5.1410 -5.1413
3.7667 -5.8667 11.1501
Li Ac Ga Te
2 4 2 10
Cartesian
3.3232 -8.1394 2.6717
2.4199 -2.9147 -2.0288
5.2876 -10.8714 4.9609
3.8873 -5.5768 6.3666
2.5880 -3.5042 1.9945
3.0882 -7.3968 -2.0758
2.5998 -7.8712 9.7662
6.4021 -8.2586 0.5231
7.6437 -10.4876 7.3740
3.4992 -8.8097 7.4537
8.3920 -11.0798 3.4198
5.6598 -7.6627 4.3536
5.3608 -10.6305 1.3596
1.6925 -6.1630 3.9052
4.7668 -6.1741 0.6575
-0.7023 -3.0063 2.9853
1.1619 -5.0713 -0.5181
0.7160 -0.9434 0.2709
```

Summary:
As for the symmetry: Cmc2_1, No. 36. The value obtained for the formation energy from raw total energies is -1.158 eV/atom. For the calculated density, the calculation gives 6.6 Mg/m³.

2.
## LiAcThGa (PBE)

Data for a relaxed structure of LiAcThGa.

Structure (POSCAR):
```
LiAcThGa
1.0
-3.9741 0.7701 -3.5491
0.7121 -1.3277 -5.1685
-2.6096 -4.2255 -2.0779
Ac Ga Th Li
1 1 1 1
Cartesian
0.0000 0.0000 0.0000
-4.4037 -3.5873 -8.0966
-2.9358 -2.3915 -5.3978
-1.4679 -1.1958 -2.6989
```

Summary:
The formation energy from the elements is -0.107 eV per atom. The density of states at the Fermi level comes out at 3.6 states/eV/f.u. As for the symmetry: F-43m, No. 216. For the calculated density, the calculation gives 8.1 Mg/m³.

3.
## LiAcTlGa (PBE)

Data for a relaxed structure of LiAcTlGa.

Structure (POSCAR):
```
LiAcTlGa
1.0
5.3723 0.0000 0.0000
2.6862 4.6526 0.0000
2.6862 1.5509 4.3865
Ac Tl Ga Li
1 1 1 1
Cartesian
0.0000 0.0000 0.0000
8.0585 4.6526 3.2899
2.6862 1.5509 1.0966
5.3723 3.1017 2.1932
```

Summary:
The formation energy from the elements is -0.306 eV per atom. The density of states at the Fermi level comes out at 1.9 states/eV/f.u. As for the symmetry: F-43m, No. 216. For the calculated density, the calculation gives 7.7 Mg/m³.

4.
## LiAcTmGa (PBE)

Data for a relaxed structure of LiAcTmGa.

Structure (POSCAR):
```
LiAcTmGa
1.0
-4.1574 0.9395 -3.2122
0.3580 -1.0829 -5.2139
-2.7462 -4.0800 -2.0728
Ac Tm Ga Li
1 1 1 1
Cartesian
0.0000 0.0000 0.0000
-3.2729 -2.1117 -5.2495
-1.6364 -1.0559 -2.6247
-4.9093 -3.1676 -7.8742
```

Summary:
The formation energy from the elements is -0.211 eV per atom. The density of states at the Fermi level comes out at 3.3 states/eV/f.u. As for the symmetry: F-43m, No. 216. For the calculated density, the calculation gives 7.3 Mg/m³.

5.
## LiAcZn2Ga4 (PBE)

Data for a relaxed structure of LiAcZn2Ga4.

Structure (POSCAR):
```
LiAcZn2Ga4
1.0
4.4495 0.0000 0.0000
2.2247 3.8533 0.0000
2.2247 1.2844 9.2152
Li Ac Zn Ga
1 1 2 4
Cartesian
4.4495 2.5689 4.6076
0.0000 0.0000 0.0000
6.6742 3.8533 6.5502
2.2247 1.2844 2.6650
4.4495 2.5689 7.2648
6.6742 3.8533 3.6319
2.2247 1.2844 5.5833
4.4495 2.5689 1.9503
```

Summary:
The formation energy from the elements is -0.279 eV per atom. The density of states at the Fermi level comes out at 2.3 states/eV/f.u. As for the symmetry: R-3m, No. 166. For the calculated density, the calculation gives 6.8 Mg/m³.

6.
## LiAcZnGa2 (PBE)

Data for a relaxed structure of LiAcZnGa2.

Structure (POSCAR):
```
LiAcZnGa2
1.0
-2.2676 1.1504 -3.7111
3.6094 -0.9668 -2.5051
-2.3735 -5.1119 2.5923
Li Ac Zn Ga
1 1 1 2
Cartesian
-1.9851 -1.9349 -2.1135
0.0000 0.0000 0.0000
0.9534 -2.9934 -1.5104
0.2628 -1.1115 -3.2317
-1.2945 -3.8168 -0.3922
```

Summary:
The formation energy from the elements is -0.436 eV per atom. The density of states at the Fermi level comes out at 2.9 states/eV/f.u. As for the symmetry: I-4m2, No. 119. For the calculated density, the calculation gives 6.8 Mg/m³.

7.
## AcLuGa (PBE)

Data for a relaxed structure of AcLuGa.

Structure (POSCAR):
```
AcLuGa
1.0
-4.3860 1.8968 1.9913
-4.5553 -2.0628 -1.3393
-2.6950 -2.7772 3.4386
Ac Lu Ga
1 1 1
Cartesian
-5.8182 -1.4716 2.0453
0.0000 0.0000 0.0000
-2.9091 -0.7358 1.0227
```

Summary:
The formation energy from the elements is -0.151 eV per atom. The density of states at the Fermi level comes out at 4.8 states/eV/f.u. As for the symmetry: F-43m, No. 216. For the calculated density, the calculation gives 8.0 Mg/m³.

8.
## AcLu2Ga (PBE)

Data for a relaxed structure of AcLu2Ga.

Structure (POSCAR):
```
AcLu2Ga
1.0
4.9147 0.0000 0.0000
0.0000 4.8485 0.0000
0.0000 0.0000 4.8485
Ac Lu Ga
1 2 1
Cartesian
2.4574 2.4242 2.4242
0.0000 0.0000 2.4242
0.0000 2.4242 0.0000
2.4574 0.0000 0.0000
```

Summary:
The formation energy from the elements is -0.092 eV per atom. The density of states at the Fermi level comes out at 6.1 states/eV/f.u. As for the symmetry: P4/mmm, No. 123. For the calculated density, the calculation gives 9.3 Mg/m³.

9.
## AcLuGa (PBE)

Data for a relaxed structure of AcLuGa.

Structure (POSCAR):
```
AcLuGa
1.0
4.4905 0.0000 0.0000
0.0000 4.9009 0.0000
0.0000 -2.4504 4.2443
Ac Lu Ga
1 1 1
Cartesian
0.0022 0.0000 0.0000
2.2487 2.4504 1.4148
2.2397 0.0000 2.8295
```

Summary:
The formation energy from the elements is -0.247 eV per atom. The density of states at the Fermi level comes out at 3.8 states/eV/f.u. As for the symmetry: P3m1, No. 156. For the calculated density, the calculation gives 8.4 Mg/m³.

10.
## AcLu2Ga (PBE)

Data for a relaxed structure of AcLu2Ga.

Structure (POSCAR):
```
AcLu2Ga
1.0
-1.8442 -2.9636 0.7737
3.0406 -1.6627 0.8790
-0.9367 2.8232 8.5806
Ac Lu Ga
1 2 1
Cartesian
0.1298 -0.9016 5.1167
-0.7567 2.2805 6.9314
-0.1800 0.5426 1.6492
0.5982 -2.3131 0.8264
```

Summary:
The formation energy from the elements is -0.235 eV per atom. The density of states at the Fermi level comes out at 3.1 states/eV/f.u. As for the symmetry: P4/mmm, No. 123. For the calculated density, the calculation gives 9.2 Mg/m³.

11.
## AcLuGa (PBE)

Data for a relaxed structure of AcLuGa.

Structure (POSCAR):
```
AcLuGa
1.0
-1.5864 -2.6150 2.0238
1.7852 -2.5667 -1.9171
4.9412 2.8732 4.2625
Ac Lu Ga
1 1 1
Cartesian
0.1560 0.0087 0.1335
3.0368 0.1701 2.6001
1.9473 -2.4874 1.6355
```

Summary:
The formation energy from the elements is -0.281 eV per atom. The density of states at the Fermi level comes out at 1.6 states/eV/f.u. As for the symmetry: I4mm, No. 107. For the calculated density, the calculation gives 8.8 Mg/m³.

12.
## AcLuGaOs (PBE)

Data for a relaxed structure of AcLuGaOs.

Structure (POSCAR):
```
AcLuGaOs
1.0
-1.6639 -2.6195 4.0589
-1.4011 -4.8866 -0.5124
2.8860 -3.7088 2.0052
Ac Lu Os Ga
1 1 1 1
Cartesian
-0.1343 -8.4112 4.1638
-0.0448 -2.8037 1.3879
-0.0895 -5.6075 2.7759
0.0000 0.0000 0.0000
```

Summary:
The formation energy from the elements is -0.116 eV per atom. The density of states at the Fermi level comes out at 2.6 states/eV/f.u. As for the symmetry: F-43m, No. 216. For the calculated density, the calculation gives 11.7 Mg/m³.

- Which value of calculated density does entry 6 give?
  6.8 Mg/m³